Record 1
# BaCrFe2

A relaxed structure of BaCrFe2 (PBE, Alexandria via LeMat-Bulk).

```
data_BaCrFe2
_chemical_formula_sum 'Ba2 Cr2 Fe4'
_cell_length_a 6.050
_cell_length_b 7.163
_cell_length_c 3.533
_cell_angle_alpha 90.00
_cell_angle_beta 90.00
_cell_angle_gamma 90.00
_symmetry_space_group_name_H-M 'C m m m'
_symmetry_Int_Tables_number 65
_symmetry_space_group_name_Hall '-C 2 2'
loop_
_atom_site_label
_atom_site_fract_x
_atom_site_fract_y
_atom_site_fract_z
Ba1 0.000 0.000 0.000
Cr1 0.000 0.500 0.000
Fe1 0.250 0.250 0.500
```

V (Å³/atom): 19.142

Record 2
# Zr2PaTi

A relaxed structure of Zr2PaTi (PBE, Alexandria via LeMat-Bulk).

```
data_Zr2PaTi
_chemical_formula_sum 'Zr8 Pa4 Ti4'
_cell_length_a 7.042
_cell_length_b 7.042
_cell_length_c 7.042
_cell_angle_alpha 90.00
_cell_angle_beta 90.00
_cell_angle_gamma 90.00
_symmetry_space_group_name_H-M 'F m -3 m'
_symmetry_Int_Tables_number 225
_symmetry_space_group_name_Hall '-F 4 2 3'
loop_
_atom_site_label
_atom_site_fract_x
_atom_site_fract_y
_atom_site_fract_z
Zr1 0.250 0.250 0.250
Pa1 0.000 0.000 0.000
Ti1 0.000 0.000 0.500
```

V (Å³/atom): 21.827

no.,DOS at the Fermi energy (states/eV/cell),total magnetization (μB per atom),E above lowest polymorph (meV per atom)
1,9.60,2.133,734.9
2,34.72,0.000,24.9